# 1
La2TeW after structural relaxation. Source: Alexandria, functional PBE-GGA.

- formation energy without anion corrections (kcal/mol of atoms) = -0.81
- crystal system = orthorhombic

Cell and atoms, written as extended XYZ:
```
4
Lattice="5.3651 -0.0003 0.0006 -1.2877 5.2083 0.0006 -0.0007 -0.0009 3.7847" Properties=species:S:1:pos:R:3 pbc="T T T"
Te 2.6822 -0.0006 1.8926
La 0.0000 0.0000 0.0000
La 2.0387 2.6040 0.0006
W -0.6442 2.6037 1.8926
```

---

# 2
Sm3Dy5Ho after structural relaxation. Source: Alexandria, functional PBE-GGA.

- distance to the lowest polymorph of the same formula (eV/atom) = 0.3570
- formation energy from the elements (eV per atom) = 0.523
- crystal system = monoclinic

Cell and atoms, written as extended XYZ:
```
18
Lattice="9.3723 -0.0656 1.6076 2.5027 9.0323 1.6076 5.5849 4.2171 9.2583" Properties=species:S:1:pos:R:3 pbc="T T T"
Dy 10.7403 4.5232 8.2387
Sm 4.6549 3.5148 2.7192
Dy 7.2906 9.0918 8.2387
Sm 12.8051 9.6690 9.7543
Dy 6.7196 8.6606 4.2349
Dy 2.4043 1.8155 0.9541
Dy 15.0556 11.3683 11.5194
Sm 9.8527 7.4397 5.4562
Sm 7.6072 5.7441 7.0173
Ho 5.1513 3.8897 6.0411
Sm 0.0000 0.0000 0.0000
Dy 10.1693 4.0920 4.2349
Dy 7.1223 5.3780 3.6949
Dy 4.2689 6.6932 1.6076
Ho 12.3086 9.2941 6.4325
Dy 7.6061 2.2736 1.6076
Dy 10.3376 7.8058 8.7787
Sm 2.7925 2.1086 4.6292
```

---

# 3
BaInRh3 after structural relaxation. Source: Alexandria, functional PBE-GGA.

- distance to the lowest polymorph of the same formula (eV/atom) = 0.0000
- formation energy from the elements (eV per atom) = 0.475
- crystal system = cubic

Cell and atoms, written as extended XYZ:
```
5
Lattice="5.0101 0.0000 0.0000 0.0000 5.0101 0.0000 0.0000 0.0000 5.0101" Properties=species:S:1:pos:R:3 pbc="T T T"
Rh 2.5050 0.0000 0.0000
In 0.0000 0.0000 0.0000
Rh 0.0000 0.0000 2.5050
Rh 0.0000 2.5050 0.0000
Ba 2.5050 2.5050 2.5050
```

---

# 4
FeTc2As after structural relaxation. Source: Alexandria, functional PBE-GGA.

- distance to the lowest polymorph of the same formula (eV/atom) = 0.7828
- formation energy from the elements (eV per atom) = 0.792
- crystal system = tetragonal

Cell and atoms, written as extended XYZ:
```
8
Lattice="5.4208 0.0000 0.0000 0.0000 5.4208 0.0000 2.7104 2.7104 5.2538" Properties=species:S:1:pos:R:3 pbc="T T T"
Fe 2.7104 5.4208 2.6269
As 0.0000 0.0000 0.0000
Fe 2.7104 2.7104 0.0000
Tc 4.0656 4.2274 3.9404
Tc 1.5170 4.0656 1.3135
Tc 3.9038 1.3552 1.3135
Tc 6.7760 6.6142 3.9404
As 5.4208 2.7104 2.6269
```

---

# 5
LiSn2Ir after structural relaxation. Source: Alexandria, functional PBE-GGA.

- formation energy from the elements (eV per atom) = -0.001
- crystal system = trigonal

Cell and atoms, written as extended XYZ:
```
4
Lattice="3.2800 0.0000 0.0000 1.6400 2.8406 0.0000 1.6400 0.9469 9.4809" Properties=species:S:1:pos:R:3 pbc="T T T"
Sn 1.6400 0.9469 6.7526
Ir 3.2800 1.8937 4.7405
Sn 4.9200 2.8406 2.7284
Li 0.0000 0.0000 0.0000
```

---

# 6
Ac2La5 after structural relaxation. Source: Alexandria, functional PBE-GGA.

- distance to the lowest polymorph of the same formula (eV/atom) = 0.0000
- formation energy from the elements (eV per atom) = 0.035
- crystal system = monoclinic

Cell and atoms, written as extended XYZ:
```
14
Lattice="-1.8306 0.1642 -6.3855 9.1535 -2.4553 -2.6872 -1.7328 -8.1163 3.7453" Properties=species:S:1:pos:R:3 pbc="T T T"
La 0.7545 -0.4762 -6.0225
La 0.5683 -4.0725 -4.9059
La 2.4049 -6.9340 -3.1941
Ac 1.6540 -7.8547 0.5039
La 6.5302 -4.5904 -7.7737
La -0.9401 -5.8169 2.4462
La 5.7703 -5.3563 -4.0683
La 5.0218 -6.3348 -0.4216
Ac 3.9361 -2.5526 -5.8314
La 6.5684 -1.8148 -3.0503
La 3.1852 -3.4733 -2.1334
Ac -0.0158 -1.3810 -2.3082
La -0.1803 -5.0511 -1.2592
Ac 5.6059 -9.0263 -3.0193
```

---

# 7
ErIn2S4 after structural relaxation. Source: Alexandria, functional PBE-GGA.

- distance to the lowest polymorph of the same formula (eV/atom) = 0.0000
- formation energy without anion corrections (kcal/mol of atoms) = -23.39
- crystal system = orthorhombic

Cell and atoms, written as extended XYZ:
```
14
Lattice="8.0975 0.0000 0.0000 4.0487 6.8578 0.1030 4.0487 2.3298 6.4508" Properties=species:S:1:pos:R:3 pbc="T T T"
S 12.1462 6.8877 5.0501
Er 2.0244 3.4289 0.0515
S 9.9434 5.6548 1.6393
In 4.0487 2.3962 4.1037
In 12.1462 6.7914 2.4501
S 4.0487 2.2999 1.5037
S 8.0975 2.4233 1.5918
S 6.2516 3.5328 4.9144
S 8.0975 6.7642 4.9620
Er 6.0731 3.4289 0.0515
S 9.9434 3.5328 4.9144
In 4.0487 0.0000 0.0000
S 6.2515 5.6548 1.6393
In 8.0975 4.5938 3.2769
```

---

# 8
OsPtN2F after structural relaxation. Source: Alexandria, functional PBE-GGA.

- distance to the lowest polymorph of the same formula (eV/atom) = 0.9636
- formation energy without anion corrections (kcal/mol of atoms) = 42.24
- crystal system = tetragonal

Cell and atoms, written as extended XYZ:
```
5
Lattice="3.9479 0.0000 0.0000 0.0000 3.9479 0.0000 0.0000 0.0000 4.1670" Properties=species:S:1:pos:R:3 pbc="T T T"
Os 1.9739 1.9739 2.0835
F 0.0000 0.0000 2.0835
Pt 0.0000 0.0000 0.0000
N 0.0000 1.9739 0.0000
N 1.9739 0.0000 0.0000
```

---

# 9
Li3RhCl after structural relaxation. Source: Alexandria, functional PBE-GGA.

- distance to the lowest polymorph of the same formula (eV/atom) = 0.0000
- formation energy without anion corrections (kcal/mol of atoms) = -5.69
- crystal system = cubic

Cell and atoms, written as extended XYZ:
```
5
Lattice="4.4739 0.0000 0.0000 0.0000 4.4739 0.0000 0.0000 0.0000 4.4739" Properties=species:S:1:pos:R:3 pbc="T T T"
Cl 0.0000 0.0000 0.0000
Rh 2.2370 2.2370 2.2370
Li 2.2370 0.0000 0.0000
Li 0.0000 2.2370 0.0000
Li 0.0000 0.0000 2.2370
```

---

# 10
AlOsPt2 after structural relaxation. Source: Alexandria, functional PBE-GGA.

- formation energy from the elements (eV per atom) = -0.283
- crystal system = trigonal

Cell and atoms, written as extended XYZ:
```
4
Lattice="-0.9369 5.0044 7.1843 -1.3573 2.4782 8.3398 1.2567 3.4515 8.0028" Properties=species:S:1:pos:R:3 pbc="T T T"
Al -0.2594 2.7335 5.8817
Os -0.7782 8.2006 17.6452
Pt -1.0322 10.8773 23.4046
Pt -0.5242 5.5239 11.8858
```

---

# 11
Ca2ZnAg2Au5 after structural relaxation. Source: Alexandria, functional PBE-GGA.

- formation energy from the elements (eV per atom) = -0.369
- crystal system = tetragonal

Cell and atoms, written as extended XYZ:
```
20
Lattice="3.8636 0.0000 0.0000 0.0000 10.3786 0.0000 0.0000 0.0000 10.3786" Properties=species:S:1:pos:R:3 pbc="T T T"
Ca 0.0000 3.4174 8.6067
Ca 0.0000 1.7720 3.4174
Ag 0.0000 1.3673 6.5566
Ag 0.0000 6.5566 9.0114
Au 1.9318 9.8135 1.9554
Ag 0.0000 9.0114 3.8220
Au 1.9318 8.4233 9.8135
Zn 0.0000 5.1893 5.1893
Ca 0.0000 8.6067 6.9613
Ag 0.0000 3.8220 1.3673
Au 1.9318 3.2340 5.7545
Au 1.9318 0.5652 8.4233
Au 1.9318 4.6241 3.2340
Au 1.9318 0.0000 5.1893
Zn 0.0000 0.0000 0.0000
Au 1.9318 1.9554 0.5652
Au 1.9318 5.7545 7.1447
Au 1.9318 5.1893 0.0000
Au 1.9318 7.1447 4.6241
Ca 0.0000 6.9613 1.7720
```

---

# 12
Li2FeBPb after structural relaxation. Source: Alexandria, functional PBE-GGA.

- formation energy from the elements (eV per atom) = 1.482
- crystal system = tetragonal

Cell and atoms, written as extended XYZ:
```
5
Lattice="-0.0109 2.5856 -4.3060 -4.8173 -1.2373 -0.7308 -1.4357 4.1247 2.4804" Properties=species:S:1:pos:R:3 pbc="T T T"
Li -0.7178 2.0623 1.2402
Pb 0.0000 0.0000 0.0000
Li -0.0055 1.2928 -2.1530
B -3.1320 2.7365 -1.2782
Fe -2.4087 -0.6187 -0.3654
```